First-principles (PBE) data for an optimized crystal structure of Y3AgPd5, as listed in Alexandria via LeMat-Bulk.

Computed properties:
Formation energy = -0.7662 eV/atom
Crystal system = orthorhombic
Relative energy among the computed polymorphs = 0.000 eV per atom
N(E_F) = 0.445 states/eV/atom
Symmetry = Cmcm, No. 63
DFT total energy = -55.10 eV per formula unit

The structure in extended XYZ format:
```
18
Lattice="5.740 0.000 0.000 0.000 7.331 -4.233 0.000 0.005 8.474" Properties=species:S:1:pos:R:3 pbc="T T T"
Pd 4.305 7.327 -1.601
Pd 0.000 4.889 0.002
Pd 2.870 4.889 0.002
Pd 4.305 5.055 2.929
Pd 1.435 5.059 -2.921
Pd 0.000 2.447 4.239
Pd 4.305 2.272 -1.312
Pd 2.870 2.447 4.239
Pd 1.435 0.009 5.842
Pd 1.435 2.282 1.312
Y 4.305 2.619 1.517
Y 4.305 7.332 1.215
Y 4.305 4.709 -2.719
Y 1.435 2.622 -1.514
Y 1.435 4.718 2.724
Y 1.435 0.004 3.026
Ag 2.870 0.000 0.000
Ag 0.000 0.000 0.000
```



First-principles (PBE) data for an optimized crystal structure of Mn2TlOs, as listed in Alexandria via LeMat-Bulk.

Computed properties:
Formation energy = 0.6333 eV/atom
Crystal system = monoclinic
Relative energy among the computed polymorphs = 0.222 eV per atom
N(E_F) = 0.887 states/eV/atom
Symmetry = C2/m, No. 12
DFT total energy = -29.40 eV per formula unit

The structure in extended XYZ format:
```
4
Lattice="4.465 -0.063 -0.042 3.543 2.718 -0.042 0.843 0.279 5.404" Properties=species:S:1:pos:R:3 pbc="T T T"
Tl 2.213 0.734 1.330
Mn 0.861 0.285 5.171
Mn 4.407 1.461 2.893
Os 6.638 2.201 3.990
```



First-principles (PBE) data for an optimized crystal structure of CuSbOs2, as listed in Alexandria via LeMat-Bulk.

Computed properties:
Crystal system = orthorhombic
Uncorrected formation energy = 0.704 eV per atom
N(E_F) = 0.949 states/eV/atom
Symmetry = Imm2, No. 44
DFT total energy = -27.86 eV per formula unit

The structure in extended XYZ format:
```
4
Lattice="5.217 -0.022 -0.010 2.436 4.614 0.010 -3.377 -3.045 2.558" Properties=species:S:1:pos:R:3 pbc="T T T"
Os 2.809 -0.400 1.274
Os 0.042 0.025 0.000
Sb 3.801 2.281 0.000
Cu 1.450 1.937 1.284
```



First-principles (PBE) data for an optimized crystal structure of Th2GaPb, as listed in Alexandria via LeMat-Bulk.

Computed properties:
Formation energy = -0.3109 eV/atom
Crystal system = tetragonal
Relative energy among the computed polymorphs = 0.056 eV per atom
N(E_F) = 1.101 states/eV/atom
Symmetry = P4/mmm, No. 123
DFT total energy = -22.82 eV per formula unit

The structure in extended XYZ format:
```
4
Lattice="-3.544 2.444 -1.222 -2.691 -4.155 -0.505 -1.411 0.335 4.760" Properties=species:S:1:pos:R:3 pbc="T T T"
Pb -3.823 -0.688 1.516
Ga -1.772 1.222 -0.611
Th -0.705 0.167 2.380
Th -1.345 -2.078 -0.253
```



First-principles (PBE) data for an optimized crystal structure of Hf2NbCo, as listed in Alexandria via LeMat-Bulk.

Computed properties:
Formation energy = -0.0548 eV/atom
Crystal system = tetragonal
Relative energy among the computed polymorphs = 0.115 eV per atom
N(E_F) = 1.692 states/eV/atom
Symmetry = P4/mmm, No. 123
DFT total energy = -37.30 eV per formula unit

The structure in extended XYZ format:
```
4
Lattice="-1.546 1.397 -2.615 3.359 -1.499 -2.786 -2.336 -3.915 -0.710" Properties=species:S:1:pos:R:3 pbc="T T T"
Nb -0.773 0.698 -1.308
Co -0.262 -2.009 -3.056
Hf 1.679 -0.750 -1.393
Hf -1.168 -1.958 -0.355
```



First-principles (PBE) data for an optimized crystal structure of RbTlReBr6, as listed in Alexandria via LeMat-Bulk.

Computed properties:
Crystal system = trigonal
Uncorrected formation energy = -0.729 eV per atom
Symmetry = P-31c, No. 163
DFT total energy = -32.38 eV per formula unit

The structure in extended XYZ format:
```
18
Lattice="-3.809 -7.046 -1.313 5.914 0.446 5.541 -8.153 2.829 8.473" Properties=species:S:1:pos:R:3 pbc="T T T"
Tl -4.076 1.414 4.237
Tl 0.000 0.000 0.000
Br -3.046 -5.153 5.222
Br -2.117 -2.492 0.995
Br -3.453 2.192 11.009
Br -5.113 -3.643 2.729
Br -5.940 0.339 9.235
Br -3.002 1.381 7.481
Br -0.935 -0.128 9.974
Br -3.932 -1.280 11.708
Br -3.389 -2.083 8.265
Br -2.659 -1.688 4.438
Br -0.108 -4.110 3.467
Br -2.595 -5.963 1.693
Rb -6.683 -2.427 7.327
Rb 0.635 -1.344 5.375
Re -2.606 -3.842 3.090
Re -3.442 0.070 9.612
```



First-principles (PBE) data for an optimized crystal structure of Mn6Ge2CN, as listed in Alexandria via LeMat-Bulk.

Computed properties:
Crystal system = tetragonal
Uncorrected formation energy = -0.133 eV per atom
N(E_F) = 0.499 states/eV/atom
Symmetry = P4/mmm, No. 123
DFT total energy = -83.14 eV per formula unit

The structure in extended XYZ format:
```
10
Lattice="3.783 0.000 0.000 0.000 3.783 0.000 0.000 0.000 7.568" Properties=species:S:1:pos:R:3 pbc="T T T"
C 1.891 1.891 3.784
Mn 1.891 1.891 1.878
Mn 1.891 0.000 0.000
Mn 1.891 1.891 5.690
Mn 0.000 1.891 3.784
Mn 1.891 0.000 3.784
Mn 0.000 1.891 0.000
Ge 0.000 0.000 1.925
Ge 0.000 0.000 5.643
N 1.891 1.891 0.000
```



First-principles (PBE) data for an optimized crystal structure of Ba3Pr2DyTe6, as listed in Alexandria via LeMat-Bulk.

Computed properties:
Crystal system = monoclinic
Uncorrected formation energy = -1.564 eV per atom
N(E_F) = 0.466 states/eV/atom
Symmetry = C2/m, No. 12
DFT total energy = -57.55 eV per formula unit

The structure in extended XYZ format:
```
12
Lattice="-6.908 -0.030 4.148 6.933 -1.717 3.730 0.973 8.212 -0.937" Properties=species:S:1:pos:R:3 pbc="T T T"
Te 0.238 0.535 5.709
Te -2.024 1.680 1.716
Te 2.467 1.133 1.581
Te 3.022 4.785 5.225
Te 0.760 5.930 1.233
Te -1.469 5.332 5.361
Pr -2.276 -0.594 4.008
Pr 2.301 -1.152 3.870
Ba 0.499 3.233 3.471
Ba -4.066 3.789 3.609
Ba 5.064 2.676 3.333
Dy 0.000 0.000 0.000
```